No. 1
DFT (PBE) results for AcSm2Y2 after structural relaxation.

Computed properties:
E_form = 0.4041 eV/atom
calculated volume = 376.4 Å³ per cell
ρ = 6.224 g/cm³
total moment = 0.0 μB/cell

Unit cell a=8.9518 b=8.9518 c=11.9905 alpha=91.75 beta=91.75 gamma=156.65
Element x y z (fractional)
Ac 0.7500 0.2500 0.5000
Ac 0.5000 0.5000 0.0000
Sm 0.4219 0.5781 0.5000
Sm 0.1719 0.8281 0.0000
Sm 0.0781 0.9219 0.5000
Sm 0.8281 0.1719 0.0000
Y 0.1250 0.3750 0.7500
Y 0.6250 0.3750 0.2500
Y 0.6250 0.3750 0.7500
Y 0.6250 0.8750 0.2500

=====

No. 2
DFT (PBE) results for SrSb2TeAu after structural relaxation.

Computed properties:
calculated volume = 167.1 Å³ per cell
formation energy from raw total energies = -0.139 eV per atom
ρ = 6.515 g/cm³
total moment = 0.0 μB/cell

Unit cell a=5.4111 b=5.4111 c=5.7080 alpha=90.00 beta=90.00 gamma=90.00
Element x y z (fractional)
Sb 0.0000 0.5000 0.0000
Sb 0.5000 0.0000 0.0000
Te 0.0000 0.0000 0.5000
Au 0.0000 0.0000 0.0000
Sr 0.5000 0.5000 0.5000

=====

No. 3
DFT (PBE) results for Sm8Cu2Rh after structural relaxation.

Computed properties:
E_form = -0.1870 eV/atom
calculated volume = 300.6 Å³ per cell
ρ = 7.916 g/cm³
total moment = 0.0 μB/cell

Unit cell a=5.1627 b=6.8189 c=9.1956 alpha=104.07 beta=106.30 gamma=90.00
Element x y z (fractional)
Sm 0.4110 0.5557 0.8220
Sm 0.6661 0.9782 0.3321
Sm 0.8005 0.6668 0.6010
Sm 0.9675 0.2109 0.9351
Sm 0.1995 0.3332 0.3990
Sm 0.3339 0.0218 0.6679
Sm 0.5890 0.4443 0.1780
Sm 0.0325 0.7891 0.0649
Cu 0.8133 0.2651 0.6266
Cu 0.1867 0.7349 0.3734
Rh 0.5000 0.0000 0.0000